[1]
KRb2TcCl6: optimized geometry, PBE-GGA.

For the theoretical density, the calculation gives 2.77 Mg/m³. For the excess energy over the best structure of this formula in the dataset, the calculation gives 0.095 eV/f.u. The calculation puts the total DFT energy (no corrections) at -3.8581 eV/atom.

The space group is Fm-3m (No. 225) and the conventional cell measures 10.7665, 10.7665 and 10.7665 Å, with angles of 90.00, 90.00 and 90.00 degrees. The asymmetric unit holds K at (0.0000, 0.0000, 0.0000), Rb at (0.2500, 0.2500, 0.2500), Tc at (0.0000, 0.0000, 0.5000) and Cl at (0.0000, 0.0000, 0.2762).

[2]
K2RbTcCl6: optimized geometry, PBE-GGA.

For the theoretical density, the calculation gives 2.26 Mg/m³. The calculation puts the total DFT energy (no corrections) at -3.8603 eV/atom.

The space group is R-3m (No. 166, hexagonal axes) and the conventional cell measures 7.1613, 7.1613 and 47.1523 Å, with angles of 90.00, 90.00 and 120.00 degrees. The asymmetric unit holds K at (0.0000, 0.0000, 0.1474), K at (0.0000, 0.0000, 0.3141), Rb at (0.0000, 0.0000, 0.4151), Tc at (0.0000, 0.0000, 0.0000), Tc at (0.0000, 0.0000, 0.5000), Cl at (0.0153, 0.5077, 0.1367) and Cl at (0.0172, 0.5086, 0.6966).

[3]
KRb2TeCl6: optimized geometry, PBE-GGA.

For the theoretical density, the calculation gives 2.47 Mg/m³. For the excess energy over the best structure of this formula in the dataset, the calculation gives 0.133 eV/f.u. The calculation puts the total DFT energy (no corrections) at -2.9903 eV/atom.

The space group is I4/mmm (No. 139) and the conventional cell measures 8.1709, 8.1709 and 11.0679 Å, with angles of 90.00, 90.00 and 90.00 degrees. The asymmetric unit holds K at (0.0000, 0.0000, 0.0000), Rb at (0.0000, 0.5000, 0.2500), Te at (0.0000, 0.0000, 0.5000), Cl at (0.0000, 0.0000, 0.2699) and Cl at (0.2413, 0.2413, 0.5000).

[4]
KRb2TeCl6: optimized geometry, PBE-GGA.

For the theoretical density, the calculation gives 2.41 Mg/m³. For the excess energy over the best structure of this formula in the dataset, the calculation gives 0.000 eV/f.u. The calculation puts the total DFT energy (no corrections) at -3.0036 eV/atom.

The space group is R-3m (No. 166, hexagonal axes) and the conventional cell measures 8.3270, 8.3270 and 37.8188 Å, with angles of 90.00, 90.00 and 120.00 degrees. The asymmetric unit holds K at (0.0000, 0.0000, 0.0862), Rb at (0.0000, 0.0000, 0.2371), Rb at (0.0000, 0.0000, 0.3617), Te at (0.0000, 0.0000, 0.0000), Te at (0.0000, 0.0000, 0.5000), Cl at (0.0217, 0.5108, 0.3684) and Cl at (0.0446, 0.5223, 0.2060).

[5]
KRbThCl6: optimized geometry, PBE-GGA.

For the theoretical density, the calculation gives 2.66 Mg/m³. The calculation puts the total DFT energy (no corrections) at -4.4196 eV/atom.

The space group is P-31c (No. 163) and the conventional cell measures 7.8543, 7.8543 and 13.3079 Å, with angles of 90.00, 90.00 and 120.00 degrees. The asymmetric unit holds K at (0.3333, 0.6667, 0.2500), Rb at (0.0000, 0.0000, 0.0000), Th at (0.3333, 0.6667, 0.7500) and Cl at (0.0460, 0.3865, 0.6354).

[6]
KRb2ThCl8: optimized geometry, PBE-GGA.

For the theoretical density, the calculation gives 2.58 Mg/m³. The calculation puts the total DFT energy (no corrections) at -3.9694 eV/atom.

The space group is P-1 (No. 2) and the conventional cell measures 6.7047, 7.3919 and 9.4298 Å, with angles of 89.96, 89.89 and 89.35 degrees. The asymmetric unit holds K at (0.0000, 0.0000, 0.0000), Rb at (0.4991, 0.5002, 0.2569), Th at (0.0000, 0.0000, 0.5000), Cl at (0.1671, 0.5914, 0.9998), Cl at (0.2085, 0.6862, 0.5008), Cl at (0.2348, 0.1233, 0.7112) and Cl at (0.2357, 0.1219, 0.2879).

[7]
KRbTiCl6: optimized geometry, PBE-GGA.

For the theoretical density, the calculation gives 2.02 Mg/m³. The calculation puts the total DFT energy (no corrections) at -4.0929 eV/atom.

The space group is P1 (No. 1) and the conventional cell measures 6.6383, 7.4140 and 7.4248 Å, with angles of 119.87, 90.01 and 90.05 degrees. The asymmetric unit holds K at (0.0000, 0.0000, 0.0000), Rb at (0.4997, 0.6667, 0.3325), Ti at (0.9981, 0.3332, 0.6655), Cl at (0.2043, 0.5932, 0.6637), Cl at (0.2052, 0.3362, 0.9266), Cl at (0.2069, 0.0746, 0.4080), Cl at (0.7895, 0.5918, 0.9234), Cl at (0.7904, 0.3318, 0.4053) and Cl at (0.7920, 0.0724, 0.6654).

[8]
KRb2TlCl: optimized geometry, PBE-GGA.

For the theoretical density, the calculation gives 2.96 Mg/m³. The calculation puts the total DFT energy (no corrections) at -2.1294 eV/atom.

The space group is P4/mmm (No. 123) and the conventional cell measures 6.4162, 6.4162 and 6.1257 Å, with angles of 90.00, 90.00 and 90.00 degrees. The asymmetric unit holds K at (0.0000, 0.0000, 0.0000), Rb at (0.0000, 0.5000, 0.5000), Tl at (0.5000, 0.5000, 0.0000) and Cl at (0.0000, 0.0000, 0.5000).